Material: AlInW2
Method: DFT, PBE
State: relaxed

Unit cell a=7.3669 b=7.3669 c=5.8715 alpha=51.15 beta=51.15 gamma=90.00
Last column: nearest neighbours and their distance in Å.
Atoms (fractional coordinates):
Al  0.5000  0.5000  0.0000  4 W 2.56, 2 In 2.71
Al  0.2500  0.7500  0.5000  4 W 2.56, 2 In 2.71
W  0.5973  0.1250  0.2500  2 Al 2.56, 2 W 2.74, 2 In 2.83
W  0.1527  0.6250  0.2500  2 Al 2.56, 2 W 2.74, 2 In 2.83
W  0.3750  0.4027  0.7500  2 Al 2.56, 2 W 2.74, 2 In 2.83
W  0.8750  0.8473  0.7500  2 Al 2.56, 2 W 2.74, 2 In 2.83
In  0.0000  0.0000  0.0000  2 Al 2.71, 4 W 2.83
In  0.7500  0.2500  0.5000  2 Al 2.71, 4 W 2.83


Material: Al2InW
Method: DFT, PBE
State: relaxed

Unit cell a=4.8803 b=4.8803 c=2.9018 alpha=90.00 beta=90.00 gamma=90.00
Last column: nearest neighbours and their distance in Å.
Atoms (fractional coordinates):
Al  0.0000  0.0000  0.0000  4 W 2.84, 4 In 2.84, 2 Al 2.90
Al  0.5000  0.5000  0.0000  4 In 2.84, 4 W 2.84, 2 Al 2.90
W  0.0000  0.5000  0.5000  8 Al 2.84, 2 W 2.90
In  0.5000  0.0000  0.5000  8 Al 2.84, 2 In 2.90


Material: Al2InW
Method: DFT, PBE
State: relaxed

Unit cell a=5.0023 b=5.0023 c=2.8886 alpha=90.00 beta=90.00 gamma=107.92
Last column: nearest neighbours and their distance in Å.
Atoms (fractional coordinates):
Al  0.0000  0.0000  0.0000  4 W 2.89, 4 In 2.89, 4 Al 2.89-2.94
Al  0.5000  0.5000  0.0000  4 In 2.89, 4 W 2.89, 4 Al 2.89-2.94
W  0.0000  0.5000  0.5000  8 Al 2.89, 2 W 2.89, 2 In 2.94
In  0.5000  0.0000  0.5000  8 Al 2.89, 2 In 2.89, 2 W 2.94


Material: Al2InW
Method: DFT, PBE
State: relaxed

Unit cell a=5.0663 b=5.0663 c=5.0748 alpha=83.50 beta=83.50 gamma=32.98
Last column: nearest neighbours and their distance in Å.
Atoms (fractional coordinates):
Al  0.9857  0.9857  0.0306  4 Al 2.69-2.88, 3 W 2.82-2.92, 1 In 2.84
Al  0.5143  0.5143  0.4694  4 Al 2.69-2.88, 3 W 2.82-2.92, 1 In 2.84
W  0.2500  0.2500  0.2500  6 Al 2.82-2.92, 2 W 2.88, 4 In 2.92
In  0.7500  0.7500  0.7500  6 Al 2.84-3.13, 2 In 2.88, 4 W 2.92


Material: AlInW
Method: DFT, PBE
State: relaxed

Unit cell a=5.3035 b=5.3035 c=5.3035 alpha=147.35 beta=138.12 gamma=54.08
Last column: nearest neighbours and their distance in Å.
Atoms (fractional coordinates):
Al  0.0180  0.0180  0.0000  4 W 2.71, 5 In 2.97-2.98, 2 Al 2.98
W  0.6500  0.6500  0.0000  4 Al 2.71, 5 In 2.96-3.00, 2 W 2.98
In  0.3321  0.3321  0.0000  5 W 2.96-3.00, 5 Al 2.97-2.98, 2 In 2.98


Material: AlInW2
Method: DFT, PBE
State: relaxed

Unit cell a=5.3285 b=5.3285 c=5.3285 alpha=144.25 beta=129.12 gamma=63.74
Last column: nearest neighbours and their distance in Å.
Atoms (fractional coordinates):
Al  0.7500  0.2500  0.5000  4 W 2.74, 4 In 2.81
W  0.9928  0.9928  0.0000  2 Al 2.74, 4 W 2.82, 2 In 2.84
W  0.5072  0.5072  0.0000  2 Al 2.74, 4 W 2.82, 2 In 2.84
In  0.2500  0.7500  0.5000  4 Al 2.81, 4 W 2.84


Material: Al4InW
Method: DFT, PBE
State: relaxed

Unit cell a=5.1877 b=5.1877 c=5.1877 alpha=60.00 beta=60.00 gamma=60.00
Last column: nearest neighbours and their distance in Å.
Atoms (fractional coordinates):
Al  0.8779  0.3740  0.3740  6 Al 2.57-2.61
Al  0.3740  0.3740  0.8779  6 Al 2.57-2.61
Al  0.3740  0.8779  0.3740  6 Al 2.57-2.61
Al  0.3740  0.3740  0.3740  6 Al 2.57-2.61
In  0.7500  0.7500  0.7500  12 Al 3.04, 4 W 3.18
W  0.0000  0.0000  0.0000  12 Al 3.04, 4 In 3.18


Material: Al2InW
Method: DFT, PBE
State: relaxed

Unit cell a=2.8772 b=2.8772 c=8.7431 alpha=90.00 beta=90.00 gamma=90.00
Last column: nearest neighbours and their distance in Å.
Atoms (fractional coordinates):
Al  0.0000  0.0000  0.9683  4 W 2.79, 4 Al 2.88
Al  0.0000  0.0000  0.5317  4 W 2.79, 4 Al 2.88
W  0.5000  0.5000  0.7500  8 Al 2.79, 4 W 2.88
In  0.5000  0.5000  0.2500  4 In 2.88, 8 Al 3.19


Material: Al2InW
Method: DFT, PBE
State: relaxed

Unit cell a=4.7486 b=2.8605 c=5.1691 alpha=91.51 beta=90.00 gamma=90.00
Last column: nearest neighbours and their distance in Å.
Atoms (fractional coordinates):
Al  0.0000  0.0442  0.9765  4 Al 2.65-2.86, 2 W 2.77, 2 In 2.82
Al  0.0000  0.4558  0.5235  4 Al 2.65-2.86, 2 W 2.77, 2 In 2.82
W  0.5000  0.7500  0.7500  4 Al 2.77, 2 W 2.86, 4 In 2.92-2.99
In  0.5000  0.2500  0.2500  4 Al 2.82, 2 In 2.86, 4 W 2.92-2.99


Material: AlInW2
Method: DFT, PBE
State: relaxed

Unit cell a=4.5634 b=4.5634 c=4.5634 alpha=60.00 beta=60.00 gamma=60.00
Last column: nearest neighbours and their distance in Å.
Atoms (fractional coordinates):
Al  0.5000  0.5000  0.5000  4 W 2.79, 4 In 2.79
W  0.0000  0.0000  0.0000  4 In 2.79, 4 W 2.79
W  0.2500  0.2500  0.2500  4 W 2.79, 4 Al 2.79
In  0.7500  0.7500  0.7500  4 W 2.79, 4 Al 2.79


Material: AlInW2
Method: DFT, PBE
State: relaxed

Unit cell a=5.3107 b=5.3107 c=2.8138 alpha=80.70 beta=80.70 gamma=115.98
Last column: nearest neighbours and their distance in Å.
Atoms (fractional coordinates):
Al  0.5000  0.0000  0.5000  4 W 2.80, 2 Al 2.81, 2 In 2.81
W  0.0000  0.0000  0.0000  2 In 2.80, 2 Al 2.80, 4 W 2.81
W  0.5000  0.5000  0.0000  2 Al 2.80, 2 In 2.80, 4 W 2.81
In  0.0000  0.5000  0.5000  4 W 2.80, 2 In 2.81, 2 Al 2.81


Material: Al2InW
Method: DFT, PBE
State: relaxed

Unit cell a=3.6590 b=4.2953 c=4.2953 alpha=90.00 beta=90.00 gamma=90.00
Last column: nearest neighbours and their distance in Å.
Atoms (fractional coordinates):
Al  0.0000  0.0000  0.0000  4 In 2.82, 4 W 2.82, 4 Al 3.04
Al  0.0000  0.5000  0.5000  4 W 2.82, 4 In 2.82, 4 Al 3.04
W  0.5000  0.0000  0.5000  8 Al 2.82, 4 In 3.04
In  0.5000  0.5000  0.0000  8 Al 2.82, 4 W 3.04


Material: Al2InW2
Method: DFT, PBE
State: relaxed

Unit cell a=7.1303 b=7.1303 c=7.1303 alpha=149.21 beta=149.21 gamma=44.10
Last column: nearest neighbours and their distance in Å.
Atoms (fractional coordinates):
Al  0.6010  0.6010  0.0000  1 Al 2.67, 4 W 2.73
Al  0.3990  0.3990  0.0000  1 Al 2.67, 4 W 2.73
In  0.0000  0.0000  0.0000  8 Al 2.99
W  0.2500  0.7500  0.5000  4 W 2.68, 4 Al 2.73
W  0.7500  0.2500  0.5000  4 W 2.68, 4 Al 2.73


Material: AlInW2
Method: DFT, PBE
State: relaxed

Unit cell a=5.2149 b=5.2149 c=2.7787 alpha=90.00 beta=90.00 gamma=115.55
Last column: nearest neighbours and their distance in Å.
Atoms (fractional coordinates):
Al  0.5000  0.0000  0.5000  2 Al 2.78, 2 In 2.78, 8 W 2.95
W  0.0000  0.0000  0.0000  4 W 2.78, 4 In 2.95, 4 Al 2.95
W  0.5000  0.5000  0.0000  4 W 2.78, 4 Al 2.95, 4 In 2.95
In  0.0000  0.5000  0.5000  2 In 2.78, 2 Al 2.78, 8 W 2.95


Material: AlInW3
Method: DFT, PBE
State: relaxed

Unit cell a=4.5912 b=4.5912 c=4.5912 alpha=90.00 beta=90.00 gamma=90.00
Last column: nearest neighbours and their distance in Å.
Atoms (fractional coordinates):
Al  0.0000  0.0000  0.0000  6 W 2.30
W  0.0000  0.5000  0.0000  2 Al 2.30
W  0.0000  0.0000  0.5000  2 Al 2.30
W  0.5000  0.0000  0.0000  2 Al 2.30
In  0.5000  0.5000  0.5000  12 W 3.25


Material: AlInW2
Method: DFT, PBE
State: relaxed

Unit cell a=4.9947 b=4.9947 c=5.0942 alpha=82.76 beta=82.76 gamma=32.88
Last column: nearest neighbours and their distance in Å.
Atoms (fractional coordinates):
Al  0.4943  0.4943  0.5051  3 In 2.80-2.97, 2 Al 2.83, 7 W 2.85-2.98
W  0.0032  0.0032  0.9878  5 W 2.83-2.89, 4 Al 2.85-2.98, 3 In 2.89-2.97
W  0.7515  0.7515  0.7519  5 W 2.83-2.89, 3 Al 2.87-2.91, 4 In 2.90-2.93
In  0.2510  0.2510  0.2551  3 Al 2.80-2.97, 2 In 2.83, 7 W 2.89-2.97


Material: Al2InW
Method: DFT, PBE
State: relaxed

Unit cell a=2.8921 b=2.8921 c=8.8175 alpha=90.00 beta=90.00 gamma=101.16
Last column: nearest neighbours and their distance in Å.
Atoms (fractional coordinates):
Al  0.0000  0.0000  0.9712  4 W 2.68-2.97, 4 Al 2.89
Al  0.0000  0.0000  0.5288  4 W 2.68-2.97, 4 Al 2.89
W  0.5000  0.5000  0.7500  8 Al 2.68-2.97, 4 W 2.89
In  0.5000  0.5000  0.2500  4 In 2.89, 4 Al 3.07


Material: AlInW
Method: DFT, PBE
State: relaxed

Unit cell a=4.4057 b=4.4057 c=4.4057 alpha=60.00 beta=60.00 gamma=60.00
Last column: nearest neighbours and their distance in Å.
Atoms (fractional coordinates):
Al  0.7500  0.7500  0.7500  4 In 2.70, 4 W 2.70
W  0.5000  0.5000  0.5000  4 Al 2.70
In  0.0000  0.0000  0.0000  4 Al 2.70


Material: AlInW
Method: DFT, PBE
State: relaxed

Unit cell a=2.9809 b=2.9809 c=7.0465 alpha=90.00 beta=90.00 gamma=120.00
Last column: nearest neighbours and their distance in Å.
Atoms (fractional coordinates):
Al  0.0000  0.0000  0.9827  3 W 2.73, 6 Al 2.98, 3 In 3.03
W  0.3333  0.6667  0.6811  3 Al 2.73, 3 In 2.98, 6 W 2.98
In  0.6667  0.3333  0.3361  3 W 2.98, 6 In 2.98, 3 Al 3.03


Material: AlInW
Method: DFT, PBE
State: relaxed

Unit cell a=7.1248 b=7.0039 c=2.8742 alpha=80.63 beta=75.91 gamma=23.45
Last column: nearest neighbours and their distance in Å.
Atoms (fractional coordinates):
Al  0.0132  0.0132  0.9868  4 W 2.66-2.96, 4 Al 2.87
W  0.6571  0.6571  0.3429  4 Al 2.66-2.96, 4 W 2.87, 2 In 2.95
In  0.3296  0.3296  0.6704  4 In 2.87, 2 W 2.95, 2 Al 3.07


no.,ρ (g/cm3),formation energy (eV per atom)
1,11.5,0.9833
2,8.5,0.2765
3,8.5,0.2854
4,8.3,0.2233
5,10.1,0.3643
6,12.5,0.3865
7,6.8,0.1500
8,8.1,0.1893
9,8.3,0.2604
10,12.6,0.3926
11,12.5,0.4070
12,8.7,0.3289
13,9.4,0.4808
14,12.4,0.4754
15,11.9,1.7288
16,12.4,0.4130
17,8.1,0.2000
18,8.9,0.9072
19,10.0,0.3490
20,9.9,0.4272